Entry from Alexandria: a relaxed structure of Ca5P3O12F (GGA-PBEsol).

## Properties
**E_form (uncorrected)**: -3.039 eV/atom
**SG**: P6_3

Cell lengths 6.850, 9.348, 9.348 Å; angles 120.00, 90.00, 90.00 degrees
Fractional positions:
Ca (0.998, 0.667, 0.333)
Ca (0.498, 0.333, 0.667)
Ca (0.000, 0.333, 0.667)
Ca (0.500, 0.667, 0.333)
Ca (0.749, 0.757, 0.004)
Ca (0.749, 0.247, 0.243)
Ca (0.749, 0.996, 0.753)
Ca (0.249, 0.243, 0.996)
Ca (0.249, 0.753, 0.757)
Ca (0.249, 0.004, 0.247)
P (0.749, 0.601, 0.632)
P (0.749, 0.030, 0.399)
P (0.749, 0.368, 0.970)
P (0.249, 0.399, 0.368)
P (0.249, 0.970, 0.601)
P (0.249, 0.632, 0.030)
O (0.749, 0.674, 0.515)
O (0.749, 0.841, 0.326)
O (0.749, 0.485, 0.159)
O (0.249, 0.326, 0.485)
O (0.249, 0.159, 0.674)
O (0.249, 0.515, 0.841)
O (0.931, 0.659, 0.745)
O (0.931, 0.086, 0.341)
O (0.931, 0.255, 0.914)
O (0.431, 0.341, 0.255)
O (0.431, 0.914, 0.659)
O (0.431, 0.745, 0.086)
O (0.067, 0.342, 0.255)
O (0.067, 0.913, 0.658)
O (0.067, 0.745, 0.087)
O (0.567, 0.658, 0.745)
O (0.567, 0.087, 0.342)
O (0.567, 0.255, 0.913)
O (0.749, 0.409, 0.533)
O (0.749, 0.123, 0.591)
O (0.749, 0.467, 0.877)
O (0.249, 0.591, 0.467)
O (0.249, 0.877, 0.409)
O (0.249, 0.533, 0.123)
F (0.749, 0.000, 0.000)
F (0.249, 0.000, 0.000)


Entry from Alexandria: a relaxed structure of Ca10V3P3O24F2 (GGA-PBEsol).

## Properties
**E_form (uncorrected)**: -3.003 eV/atom
**SG**: P-6

Cell lengths 6.871, 9.538, 9.538 Å; angles 120.00, 90.00, 90.00 degrees
Fractional positions:
Ca (0.746, 0.333, 0.667)
Ca (0.251, 0.667, 0.333)
Ca (0.749, 0.667, 0.333)
Ca (0.254, 0.333, 0.667)
Ca (0.500, 0.246, 0.012)
Ca (0.500, 0.766, 0.754)
Ca (0.500, 0.988, 0.234)
Ca (0.000, 0.757, 0.005)
Ca (0.000, 0.248, 0.243)
Ca (0.000, 0.995, 0.752)
V (0.000, 0.030, 0.395)
V (0.000, 0.366, 0.970)
V (0.000, 0.605, 0.634)
P (0.500, 0.970, 0.594)
P (0.500, 0.624, 0.030)
P (0.500, 0.406, 0.376)
O (0.500, 0.873, 0.405)
O (0.500, 0.532, 0.127)
O (0.500, 0.595, 0.468)
O (0.000, 0.132, 0.604)
O (0.000, 0.472, 0.868)
O (0.000, 0.396, 0.528)
O (0.500, 0.154, 0.657)
O (0.500, 0.503, 0.846)
O (0.500, 0.343, 0.497)
O (0.000, 0.824, 0.308)
O (0.000, 0.485, 0.176)
O (0.000, 0.692, 0.515)
O (0.681, 0.916, 0.652)
O (0.681, 0.736, 0.084)
O (0.681, 0.348, 0.264)
O (0.196, 0.091, 0.331)
O (0.196, 0.240, 0.909)
O (0.196, 0.669, 0.760)
O (0.804, 0.091, 0.331)
O (0.804, 0.240, 0.909)
O (0.804, 0.669, 0.760)
O (0.319, 0.916, 0.652)
O (0.319, 0.736, 0.084)
O (0.319, 0.348, 0.264)
F (0.500, 0.000, 0.000)
F (0.000, 0.000, 0.000)


Q: What is the formula in the first record?
A: Ca5P3O12F